Entry 1:
Entry from Alexandria via LeMat-Bulk: an optimized crystal structure of Tl4Br3Cl2 (PBE).

```
18
Lattice="-4.531 -7.942 -3.411 7.346 -3.886 -1.137 0.795 -3.824 7.423" Properties=species:S:1:pos:R:3 pbc="T T T"
Tl -1.740 -10.361 0.224
Cl 4.545 -8.043 1.265
Cl -0.935 -7.609 1.611
Cl 0.087 -11.994 2.424
Br -3.599 -8.328 -1.677
Tl -0.995 -5.955 4.057
Tl 5.350 -5.292 2.652
Br 2.163 -5.833 3.303
Tl 1.955 -6.403 0.061
Tl 2.260 -5.683 6.547
Cl 3.524 -3.659 0.451
Tl 1.350 -9.970 -3.671
Br 1.448 -9.819 -0.428
Br 7.210 -7.324 4.553
Br -0.351 -4.366 -1.255
Br 3.962 -11.286 4.131
Tl 4.605 -9.697 -1.182
Tl 1.655 -9.249 2.814
```

Properties
* energy: -2.812 eV/atom
* DOS at the Fermi energy: 8.4 states/eV per cell
* symmetry: C2/c

Entry 2:
Entry from Alexandria via LeMat-Bulk: an optimized crystal structure of TlBrCl2 (PBE).

```
4
Lattice="4.387 0.081 0.000 -1.792 4.005 0.000 0.000 0.000 8.617" Properties=species:S:1:pos:R:3 pbc="T T T"
Br 1.297 2.043 7.213
Cl 0.000 0.000 7.703
Cl 1.297 2.043 2.586
Tl 0.000 0.000 4.039
```

Properties
* E above lowest polymorph: 244 meV/atom
* DOS at the Fermi energy: 5.3 states/eV per cell
* symmetry: Cmm2

Entry 3:
Entry from Alexandria via LeMat-Bulk: an optimized crystal structure of TlBr4Cl (PBE).

```
12
Lattice="7.158 -1.044 0.000 -2.406 7.644 0.000 -2.376 -3.300 9.090" Properties=species:S:1:pos:R:3 pbc="T T T"
Br 3.301 1.177 0.872
Br -0.716 1.509 3.246
Br 0.487 -2.313 5.844
Br -0.925 2.123 8.218
Tl -2.992 4.083 8.155
Cl 1.789 -0.261 6.078
Br -2.128 5.945 0.872
Br 3.092 1.791 5.844
Br 1.889 5.613 3.246
Tl 5.368 -0.783 0.935
Cl 0.587 3.561 3.012
Br 4.504 -2.645 8.218
```

Properties
* E above lowest polymorph: 0 meV/atom
* symmetry: C2/c

Entry 4:
Entry from Alexandria via LeMat-Bulk: an optimized crystal structure of TlBrCl3 (PBE).

```
10
Lattice="6.817 -0.404 -3.823 -1.536 6.321 -3.408 -0.809 0.222 8.684" Properties=species:S:1:pos:R:3 pbc="T T T"
Tl 2.722 4.670 -0.131
Cl 4.316 4.200 1.923
Cl 3.169 -0.067 -1.204
Cl 5.140 0.791 3.767
Cl 0.460 5.941 -0.665
Br 5.734 1.224 0.034
Br 0.695 2.668 4.983
Cl 3.697 3.806 -2.180
Tl 1.272 0.266 0.272
Cl 1.221 2.815 1.018
```

Properties
* E above lowest polymorph: 0 meV/atom
* DOS at the Fermi energy: 2.6 states/eV per cell
* symmetry: Cm

Entry 5:
Entry from Alexandria via LeMat-Bulk: an optimized crystal structure of Tl2BrCl2 (PBE).

```
10
Lattice="8.431 0.000 0.000 0.000 8.431 0.000 0.000 0.000 4.177" Properties=species:S:1:pos:R:3 pbc="T T T"
Cl 7.246 3.030 2.089
Cl 3.030 1.185 2.089
Cl 1.185 5.400 2.089
Cl 5.400 7.246 2.089
Tl 6.938 5.709 0.000
Br 0.000 0.000 0.000
Br 4.215 4.215 0.000
Tl 1.493 2.722 0.000
Tl 2.722 6.938 0.000
Tl 5.709 1.493 0.000
```

Properties
* E above lowest polymorph: 0 meV/atom
* DOS at the Fermi energy: 12.0 states/eV per cell
* symmetry: P4/mbm

Entry 6:
Entry from Alexandria via LeMat-Bulk: an optimized crystal structure of TlBrCl2 (PBE).

```
4
Lattice="-0.616 1.863 -3.357 -6.879 -0.414 1.032 -4.582 4.189 3.166" Properties=species:S:1:pos:R:3 pbc="T T T"
Cl -4.484 1.477 1.642
Cl -1.247 0.411 0.457
Tl -3.173 1.876 -0.629
Br -8.903 3.763 1.470
```

Properties
* E above lowest polymorph: 95 meV/atom
* DOS at the Fermi energy: 1.0 states/eV per cell
* symmetry: Cmmm

no.,calculated volume (Å³/cell)
1,676
2,153
3,475
4,355
5,297
6,138